This record from the Alexandria database describes an optimized crystal structure of Sm5Dy4Zn. The functional is PBE.

Properties
volume	309.7	Å³/cell
M_tot	0.0	μB per formula unit
formation energy	-49.9	meV/atom

The structure in CIF format:
```
data_Sm5Dy4Zn
_chemical_formula_sum 'Sm5 Dy4 Zn1'
_space_group_name_H-M_alt 'P 4/m m m'
_space_group_IT_number 123
_space_group_name_Hall '-P 4 2'
_cell_length_a 3.6055
_cell_length_b 3.6055
_cell_length_c 23.8199
_cell_angle_alpha 90.00
_cell_angle_beta 90.00
_cell_angle_gamma 90.00
loop_
_atom_site_label
_atom_site_fract_x
_atom_site_fract_y
_atom_site_fract_z
Sm1 0.0000 0.0000 0.0000
Sm2 0.0000 0.0000 0.2114
Sm3 0.0000 0.0000 0.4236
Dy1 0.5000 0.5000 0.1054
Dy2 0.5000 0.5000 0.3162
Zn1 0.5000 0.5000 0.5000
```



This record from the Alexandria database describes an optimized crystal structure of Sm2DyZn4. The functional is PBE.

Properties
volume	341.5	Å³/cell
M_tot	0.0	μB per formula unit
formation energy	-155.5	meV/atom

The structure in CIF format:
```
data_Sm2DyZn4
_chemical_formula_sum 'Sm4 Dy2 Zn8'
_space_group_name_H-M_alt 'I 4/m m m'
_space_group_IT_number 139
_space_group_name_Hall '-I 4 2'
_cell_length_a 5.1934
_cell_length_b 5.1934
_cell_length_c 12.6626
_cell_angle_alpha 90.00
_cell_angle_beta 90.00
_cell_angle_gamma 90.00
loop_
_atom_site_label
_atom_site_fract_x
_atom_site_fract_y
_atom_site_fract_z
Sm1 0.0000 0.0000 0.2220
Dy1 0.0000 0.0000 0.5000
Zn1 0.0000 0.5000 0.1066
```



Which of these has the lowest formation energy?
Sm2DyZn4